# PBE MgZr2Br, optimized geometry
data_MgZr2Br
_cell_length_a 3.268
_cell_length_b 5.297
_cell_length_c 10.666
_cell_angle_alpha 90.00
_cell_angle_beta 90.00
_cell_angle_gamma 90.00
_space_group_name_H-M_alt 'I m m 2'
_space_group_IT_number 44
loop_
_space_group_symop_operation_xyz
'x,y,z'
'-x,-y,z'
'-x,y,z'
'x,-y,z'
'x+1/2,y+1/2,z+1/2'
'-x+1/2,-y+1/2,z+1/2'
'-x+1/2,y+1/2,z+1/2'
'x+1/2,-y+1/2,z+1/2'
loop_
_atom_site_label
_atom_site_fract_x
_atom_site_fract_y
_atom_site_fract_z
Mg1 0.000 0.000 0.000
Zr1 0.000 0.000 0.524
Zr2 0.000 0.500 0.784
Br1 0.000 0.500 0.238
# relative energy among the computed polymorphs = 236.5 meV per atom